# CaAc2InPd6

CaAc2InPd6 after structural relaxation (GGA-PBE, Alexandria via LeMat-Bulk).

The calculated formation energy comes out at -1.839 eV per formula unit. Its symmetry is Fm-3m. Its density of states at the Fermi level is 4.87 states/eV/f.u.

Cell lengths 7.117, 7.117, 7.117 Å; angles 60.00, 60.00, 60.00 degrees
Sites, in units of the cell vectors:
Ca 0.000 0.000 0.000
Ac 0.250 0.250 0.250
Ac 0.750 0.750 0.750
In 0.500 0.500 0.500
Pd 0.250 0.250 0.750
Pd 0.250 0.750 0.250
Pd 0.250 0.750 0.750
Pd 0.750 0.250 0.250
Pd 0.750 0.250 0.750
Pd 0.750 0.750 0.250